Record 1
First-principles (PBE) data for PmPr5Nd12 after structural relaxation, as listed in the Alexandria database.

abc: 12.1238 10.6605 6.0004
angles: 89.98 89.96 55.35
Closest atoms and distances in Å follow each position.
Positions (direct):
Pm 0.0000 0.0000 0.0000  8 Nd 3.56-3.67, 4 Pr 3.86
Pr 0.5000 0.0000 0.5000  8 Nd 3.58-3.69, 4 Pr 3.87
Pr 0.1387 0.7226 0.5000  8 Nd 3.43-3.72
Pr 0.8613 0.2774 0.5000  8 Nd 3.43-3.72
Pr 0.6393 0.7214 0.0000  8 Nd 3.45-3.71
Pr 0.3607 0.2786 0.0000  8 Nd 3.45-3.71
Nd 0.8031 0.0000 0.4412  4 Nd 3.26-3.63, 2 Pr 3.43, 1 Pm 3.56
Nd 0.1969 0.0000 0.5588  4 Nd 3.26-3.63, 2 Pr 3.43, 1 Pm 3.56
Nd 0.6985 0.0000 0.9412  4 Nd 3.26-3.62, 3 Pr 3.45-3.58
Nd 0.3016 0.0000 0.0588  4 Nd 3.26-3.62, 3 Pr 3.45-3.58
Nd 0.3322 0.6440 0.9888  6 Nd 3.43-3.82, 3 Pr 3.55-3.71, 1 Pm 3.64
Nd 0.0238 0.6440 0.0112  6 Nd 3.43-3.82, 3 Pr 3.55-3.71, 1 Pm 3.64
Nd 0.9762 0.3560 0.9888  6 Nd 3.43-3.82, 3 Pr 3.55-3.71, 1 Pm 3.64
Nd 0.6678 0.3560 0.0112  6 Nd 3.43-3.82, 3 Pr 3.55-3.71, 1 Pm 3.64
Nd 0.4759 0.3565 0.5111  6 Nd 3.43-3.82, 4 Pr 3.54-3.72
Nd 0.8324 0.6435 0.5111  6 Nd 3.43-3.82, 4 Pr 3.54-3.72
Nd 0.1676 0.3565 0.4889  6 Nd 3.43-3.82, 4 Pr 3.54-3.72
Nd 0.5241 0.6435 0.4889  6 Nd 3.43-3.82, 4 Pr 3.54-3.72

Output
space group	No. 12
formation energy	77	meV/atom
Fermi-level density of states	1.478	states/eV per atom
total DFT energy (no corrections)	-4.693	eV per atom
theoretical density	6.717	g/cm³



Record 2
First-principles (PBE) data for PmDyGePb after structural relaxation, as listed in the Alexandria database.

abc: 5.3327 5.3327 5.3327
angles: 60.00 60.00 60.00
Closest atoms and distances in Å follow each position.
Positions (direct):
Pb 0.0000 0.0000 0.0000  4 Pm 3.27, 4 Dy 3.27
Ge 0.5000 0.5000 0.5000  4 Dy 3.27, 4 Pm 3.27
Pm 0.7500 0.7500 0.7500  4 Pb 3.27, 4 Ge 3.27
Dy 0.2500 0.2500 0.2500  4 Pb 3.27, 4 Ge 3.27

Output
space group	No. 216
formation energy	-437	meV/atom
Fermi-level density of states	1.087	states/eV per atom
total DFT energy (no corrections)	-4.857	eV per atom
theoretical density	9.095	g/cm³



Record 3
First-principles (PBE) data for NaPrPb2 after structural relaxation, as listed in the Alexandria database.

abc: 4.8731 4.8731 7.2537
angles: 70.37 70.37 60.00
Closest atoms and distances in Å follow each position.
Positions (direct):
Na 0.4907 0.4907 0.5279  6 Pb 3.14-3.32
Pr 0.6759 0.6759 0.9723  6 Pb 3.23-3.42
Pb 0.0881 0.0881 0.7356  3 Na 3.14, 1 Pb 3.15, 3 Pr 3.23
Pb 0.2452 0.2452 0.2643  1 Pb 3.15, 3 Na 3.32, 3 Pr 3.42

Output
space group	No. 160
formation energy	-99	meV/atom
Fermi-level density of states	0.969	states/eV per atom
total DFT energy (no corrections)	-3.477	eV per atom
theoretical density	6.984	g/cm³



Record 4
First-principles (PBE) data for TaMn2Ga after structural relaxation, as listed in the Alexandria database.

abc: 3.1656 4.1336 4.1336
angles: 90.00 90.00 90.00
Closest atoms and distances in Å follow each position.
Positions (direct):
Mn 0.0000 0.0000 0.5000  4 Ta 2.60, 4 Ga 2.60
Mn 0.0000 0.5000 0.0000  4 Ta 2.60, 4 Ga 2.60
Ga 0.5000 0.0000 0.0000  8 Mn 2.60
Ta 0.5000 0.5000 0.5000  8 Mn 2.60

Output
space group	No. 123
formation energy	-179	meV/atom
Fermi-level density of states	0.557	states/eV per atom
total DFT energy (no corrections)	-8.484	eV per atom
theoretical density	11.069	g/cm³



Record 5
First-principles (PBE) data for Ac8Co4Pt after structural relaxation, as listed in the Alexandria database.

abc: 4.2825 10.6006 10.4517
angles: 84.11 78.18 78.35
Closest atoms and distances in Å follow each position.
Positions (direct):
Ac 0.1431 0.3938 0.3199  3 Co 2.83
Ac 0.5400 0.2725 0.6475  3 Co 2.75-2.84
Ac 0.4591 0.7129 0.3689  3 Co 2.80-2.82
Ac 0.8505 0.5968 0.7023  3 Co 2.91-2.94, 1 Pt 3.02
Ac 0.8437 0.3253 0.9872  3 Co 2.88-2.96
Ac 0.1981 0.9291 0.6746  3 Co 3.03-3.04, 2 Pt 3.08
Ac 0.1561 0.6645 0.0232  3 Co 3.04, 2 Pt 3.08
Ac 0.7961 0.0546 0.3531  3 Co 2.87-2.94
Co 0.3573 0.4474 0.8380  6 Ac 2.75-3.04
Co 0.8402 0.8131 0.5065  6 Ac 2.80-3.04
Co 0.1623 0.1755 0.4998  6 Ac 2.83-3.03
Co 0.6468 0.5212 0.1851  6 Ac 2.82-3.04
Pt 0.6517 0.8256 0.8710  5 Ac 3.02-3.08

Output
space group	No. 8
formation energy	-108	meV/atom
Fermi-level density of states	0.552	states/eV per atom
total DFT energy (no corrections)	-5.288	eV per atom
theoretical density	8.220	g/cm³



Record 6
First-principles (PBE) data for NaCaHCl2 after structural relaxation, as listed in the Alexandria database.

abc: 3.8591 3.8591 13.2402
angles: 90.00 90.00 90.00
Closest atoms and distances in Å follow each position.
Positions (direct):
Na 0.5000 0.0000 0.1020  6 Cl 2.73-2.88
Na 0.0000 0.5000 0.8980  6 Cl 2.73-2.88
Ca 0.5000 0.0000 0.5989  4 H 2.33
Ca 0.0000 0.5000 0.4011  4 H 2.33
H 0.0000 0.0000 0.5000  4 Ca 2.33
H 0.5000 0.5000 0.5000  4 Ca 2.33
Cl 0.0000 0.5000 0.6806  1 Na 2.88, 4 Ca 2.94, 4 H 3.07
Cl 0.0000 0.5000 0.1137  5 Na 2.73-2.86
Cl 0.5000 0.0000 0.8863  5 Na 2.73-2.86
Cl 0.5000 0.0000 0.3194  1 Na 2.88, 4 Ca 2.94, 4 H 3.07

Output
space group	No. 129
Fermi-level density of states	0.000	states/eV per atom
total DFT energy (no corrections)	-3.683	eV per atom
offset from the most stable computed form	0	meV per atom
theoretical density	2.273	g/cm³